# 1
# CuSb2Se, optimized geometry, DFT GGA-PBE
data_CuSb2Se
_cell_length_a 3.442
_cell_length_b 3.442
_cell_length_c 7.395
_cell_angle_alpha 90.00
_cell_angle_beta 90.00
_cell_angle_gamma 99.04
_symmetry_space_group_name_H-M 'P 1'
_symmetry_Int_Tables_number 1
loop_
_symmetry_equiv_pos_as_xyz
'x,y,z'
loop_
_atom_site_label
_atom_site_type_symbol
_atom_site_fract_x
_atom_site_fract_y
_atom_site_fract_z
_atom_site_occupancy
Cu1 Cu 0.000 0.000 0.000 1
Sb1 Sb 0.500 0.500 0.228 1
Sb2 Sb 0.500 0.500 0.772 1
Se1 Se 0.000 0.000 0.500 1
# DOS(E_F) ... 1.86 states/eV/cell
# ρ ... 7.41 g cm⁻³
# Formation energy (no corrections) ... 243 meV per atom
# SG ... No. 65
# Total moment ... 0.000 μB/f.u.

# 2
# CuSb2Se, optimized geometry, DFT GGA-PBE
data_CuSb2Se
_cell_length_a 5.554
_cell_length_b 5.554
_cell_length_c 5.554
_cell_angle_alpha 142.18
_cell_angle_beta 119.41
_cell_angle_gamma 73.67
_symmetry_space_group_name_H-M 'P 1'
_symmetry_Int_Tables_number 1
loop_
_symmetry_equiv_pos_as_xyz
'x,y,z'
loop_
_atom_site_label
_atom_site_type_symbol
_atom_site_fract_x
_atom_site_fract_y
_atom_site_fract_z
_atom_site_occupancy
Cu1 Cu 0.000 0.000 0.000 1
Sb1 Sb 0.229 0.729 0.500 1
Sb2 Sb 0.771 0.271 0.500 1
Se1 Se 0.500 0.500 0.000 1
# DOS(E_F) ... 1.87 states/eV/cell
# ρ ... 7.15 g cm⁻³
# Formation energy (no corrections) ... 271 meV per atom
# SG ... No. 71
# Total moment ... 0.000 μB/f.u.

# 3
# CuSb2Se, optimized geometry, DFT GGA-PBE
data_CuSb2Se
_cell_length_a 4.882
_cell_length_b 4.882
_cell_length_c 4.080
_cell_angle_alpha 90.00
_cell_angle_beta 90.00
_cell_angle_gamma 106.02
_symmetry_space_group_name_H-M 'P 1'
_symmetry_Int_Tables_number 1
loop_
_symmetry_equiv_pos_as_xyz
'x,y,z'
loop_
_atom_site_label
_atom_site_type_symbol
_atom_site_fract_x
_atom_site_fract_y
_atom_site_fract_z
_atom_site_occupancy
Cu1 Cu 0.000 0.000 0.000 1
Sb1 Sb 0.218 0.782 0.500 1
Sb2 Sb 0.782 0.218 0.500 1
Se1 Se 0.500 0.500 0.000 1
# DOS(E_F) ... 2.06 states/eV/cell
# ρ ... 6.86 g cm⁻³
# Formation energy (no corrections) ... 103 meV per atom
# SG ... No. 65
# Total moment ... 0.000 μB/f.u.

# 4
# CuSb2Se, optimized geometry, DFT GGA-PBE
data_CuSb2Se
_cell_length_a 6.435
_cell_length_b 6.435
_cell_length_c 6.435
_cell_angle_alpha 143.59
_cell_angle_beta 143.59
_cell_angle_gamma 52.44
_symmetry_space_group_name_H-M 'P 1'
_symmetry_Int_Tables_number 1
loop_
_symmetry_equiv_pos_as_xyz
'x,y,z'
loop_
_atom_site_label
_atom_site_type_symbol
_atom_site_fract_x
_atom_site_fract_y
_atom_site_fract_z
_atom_site_occupancy
Cu1 Cu 0.000 0.000 0.000 1
Sb1 Sb 0.250 0.750 0.500 1
Sb2 Sb 0.500 0.500 0.000 1
Se1 Se 0.750 0.250 0.500 1
# DOS(E_F) ... 2.29 states/eV/cell
# ρ ... 6.87 g cm⁻³
# Formation energy (no corrections) ... 338 meV per atom
# SG ... No. 119
# Total moment ... 0.000 μB/f.u.

# 5
# Cu2Sb2Se, optimized geometry, DFT GGA-PBE
data_Cu2Sb2Se
_cell_length_a 6.266
_cell_length_b 6.266
_cell_length_c 6.266
_cell_angle_alpha 138.21
_cell_angle_beta 138.21
_cell_angle_gamma 60.59
_symmetry_space_group_name_H-M 'P 1'
_symmetry_Int_Tables_number 1
loop_
_symmetry_equiv_pos_as_xyz
'x,y,z'
loop_
_atom_site_label
_atom_site_type_symbol
_atom_site_fract_x
_atom_site_fract_y
_atom_site_fract_z
_atom_site_occupancy
Cu1 Cu 0.112 0.112 0.000 1
Cu2 Cu 0.888 0.888 0.000 1
Sb1 Sb 0.250 0.750 0.500 1
Sb2 Sb 0.750 0.250 0.500 1
Se1 Se 0.500 0.500 0.000 1
# DOS(E_F) ... 1.53 states/eV/cell
# ρ ... 6.91 g cm⁻³
# Formation energy (no corrections) ... 370 meV per atom
# SG ... No. 139
# Total moment ... 0.000 μB/f.u.

# 6
# Cu2Sb2Se, optimized geometry, DFT GGA-PBE
data_Cu2Sb2Se
_cell_length_a 7.241
_cell_length_b 7.241
_cell_length_c 3.760
_cell_angle_alpha 90.00
_cell_angle_beta 90.00
_cell_angle_gamma 90.00
_symmetry_space_group_name_H-M 'P 1'
_symmetry_Int_Tables_number 1
loop_
_symmetry_equiv_pos_as_xyz
'x,y,z'
loop_
_atom_site_label
_atom_site_type_symbol
_atom_site_fract_x
_atom_site_fract_y
_atom_site_fract_z
_atom_site_occupancy
Cu1 Cu 0.124 0.376 0.000 1
Cu2 Cu 0.376 0.876 0.000 1
Cu3 Cu 0.624 0.124 0.000 1
Cu4 Cu 0.876 0.624 0.000 1
Sb1 Sb 0.168 0.668 0.500 1
Sb2 Sb 0.332 0.168 0.500 1
Sb3 Sb 0.668 0.832 0.500 1
Sb4 Sb 0.832 0.332 0.500 1
Se1 Se 0.000 0.000 0.000 1
Se2 Se 0.500 0.500 0.000 1
# DOS(E_F) ... 3.71 states/eV/cell
# ρ ... 7.57 g cm⁻³
# Formation energy (no corrections) ... 210 meV per atom
# SG ... No. 127
# Total moment ... 0.000 μB/f.u.

# 7
# Cu2SbSe, optimized geometry, DFT GGA-PBE
data_Cu2SbSe
_cell_length_a 4.914
_cell_length_b 4.914
_cell_length_c 4.914
_cell_angle_alpha 127.57
_cell_angle_beta 127.57
_cell_angle_gamma 77.32
_symmetry_space_group_name_H-M 'P 1'
_symmetry_Int_Tables_number 1
loop_
_symmetry_equiv_pos_as_xyz
'x,y,z'
loop_
_atom_site_label
_atom_site_type_symbol
_atom_site_fract_x
_atom_site_fract_y
_atom_site_fract_z
_atom_site_occupancy
Cu1 Cu 0.250 0.750 0.500 1
Cu2 Cu 0.750 0.250 0.500 1
Sb1 Sb 0.000 0.000 0.000 1
Se1 Se 0.500 0.500 0.000 1
# DOS(E_F) ... 2.35 states/eV/cell
# ρ ... 7.53 g cm⁻³
# Formation energy (no corrections) ... 330 meV per atom
# SG ... No. 139
# Total moment ... 0.000 μB/f.u.

# 8
# Cu5Sb3Se12, optimized geometry, DFT GGA-PBE
data_Cu5Sb3Se12
_cell_length_a 13.424
_cell_length_b 13.424
_cell_length_c 13.424
_cell_angle_alpha 109.47
_cell_angle_beta 109.47
_cell_angle_gamma 109.47
_symmetry_space_group_name_H-M 'P 1'
_symmetry_Int_Tables_number 1
loop_
_symmetry_equiv_pos_as_xyz
'x,y,z'
loop_
_atom_site_label
_atom_site_type_symbol
_atom_site_fract_x
_atom_site_fract_y
_atom_site_fract_z
_atom_site_occupancy
Cu1 Cu 0.000 0.000 0.000 1
Cu2 Cu 0.000 0.000 0.500 1
Cu3 Cu 0.000 0.500 0.000 1
Cu4 Cu 0.000 0.500 0.500 1
Cu5 Cu 0.125 0.750 0.875 1
Cu6 Cu 0.125 0.875 0.250 1
Cu7 Cu 0.250 0.125 0.875 1
Cu8 Cu 0.250 0.625 0.375 1
Cu9 Cu 0.375 0.250 0.625 1
Cu10 Cu 0.375 0.625 0.750 1
Cu11 Cu 0.500 0.000 0.000 1
Cu12 Cu 0.500 0.000 0.500 1
Cu13 Cu 0.500 0.500 0.000 1
Cu14 Cu 0.500 0.500 0.500 1
Cu15 Cu 0.625 0.375 0.250 1
Cu16 Cu 0.625 0.750 0.375 1
Cu17 Cu 0.750 0.375 0.625 1
Cu18 Cu 0.750 0.875 0.125 1
Cu19 Cu 0.875 0.125 0.750 1
Cu20 Cu 0.875 0.250 0.125 1
Sb1 Sb 0.125 0.250 0.375 1
Sb2 Sb 0.125 0.375 0.750 1
Sb3 Sb 0.250 0.375 0.125 1
Sb4 Sb 0.250 0.875 0.625 1
Sb5 Sb 0.375 0.125 0.250 1
Sb6 Sb 0.375 0.750 0.125 1
Sb7 Sb 0.625 0.250 0.875 1
Sb8 Sb 0.625 0.875 0.750 1
Sb9 Sb 0.750 0.125 0.375 1
Sb10 Sb 0.750 0.625 0.875 1
Sb11 Sb 0.875 0.625 0.250 1
Sb12 Sb 0.875 0.750 0.625 1
Se1 Se 0.030 0.206 0.122 1
Se2 Se 0.030 0.324 0.908 1
Se3 Se 0.083 0.706 0.676 1
Se4 Se 0.083 0.878 0.408 1
Se5 Se 0.092 0.622 0.417 1
Se6 Se 0.092 0.970 0.676 1
Se7 Se 0.122 0.030 0.206 1
Se8 Se 0.122 0.592 0.917 1
Se9 Se 0.176 0.206 0.583 1
Se10 Se 0.176 0.470 0.592 1
Se11 Se 0.206 0.122 0.030 1
Se12 Se 0.206 0.583 0.176 1
Se13 Se 0.294 0.324 0.917 1
Se14 Se 0.294 0.470 0.378 1
Se15 Se 0.324 0.908 0.030 1
Se16 Se 0.324 0.917 0.294 1
Se17 Se 0.378 0.294 0.470 1
Se18 Se 0.378 0.583 0.908 1
Se19 Se 0.408 0.083 0.878 1
Se20 Se 0.408 0.824 0.530 1
Se21 Se 0.417 0.092 0.622 1
Se22 Se 0.417 0.824 0.794 1
Se23 Se 0.470 0.378 0.294 1
Se24 Se 0.470 0.592 0.176 1
Se25 Se 0.530 0.408 0.824 1
Se26 Se 0.530 0.622 0.706 1
Se27 Se 0.583 0.176 0.206 1
Se28 Se 0.583 0.908 0.378 1
Se29 Se 0.592 0.176 0.470 1
Se30 Se 0.592 0.917 0.122 1
Se31 Se 0.622 0.417 0.092 1
Se32 Se 0.622 0.706 0.530 1
Se33 Se 0.676 0.083 0.706 1
Se34 Se 0.676 0.092 0.970 1
Se35 Se 0.706 0.530 0.622 1
Se36 Se 0.706 0.676 0.083 1
Se37 Se 0.794 0.417 0.824 1
Se38 Se 0.794 0.878 0.970 1
Se39 Se 0.824 0.530 0.408 1
Se40 Se 0.824 0.794 0.417 1
Se41 Se 0.878 0.408 0.083 1
Se42 Se 0.878 0.970 0.794 1
Se43 Se 0.908 0.030 0.324 1
Se44 Se 0.908 0.378 0.583 1
Se45 Se 0.917 0.122 0.592 1
Se46 Se 0.917 0.294 0.324 1
Se47 Se 0.970 0.676 0.092 1
Se48 Se 0.970 0.794 0.878 1
# DOS(E_F) ... 82.64 states/eV/cell
# ρ ... 5.82 g cm⁻³
# Formation energy (no corrections) ... 17 meV per atom
# SG ... No. 230
# Total moment ... 0.000 μB/f.u.

# 9
# CuSb2Se, optimized geometry, DFT GGA-PBE
data_CuSb2Se
_cell_length_a 4.563
_cell_length_b 3.535
_cell_length_c 5.633
_cell_angle_alpha 90.00
_cell_angle_beta 90.32
_cell_angle_gamma 90.00
_symmetry_space_group_name_H-M 'P 1'
_symmetry_Int_Tables_number 1
loop_
_symmetry_equiv_pos_as_xyz
'x,y,z'
loop_
_atom_site_label
_atom_site_type_symbol
_atom_site_fract_x
_atom_site_fract_y
_atom_site_fract_z
_atom_site_occupancy
Cu1 Cu 0.000 0.000 0.000 1
Sb1 Sb 0.000 0.000 0.500 1
Sb2 Sb 0.500 0.500 0.000 1
Se1 Se 0.500 0.500 0.500 1
# DOS(E_F) ... 1.44 states/eV/cell
# ρ ... 7.05 g cm⁻³
# Formation energy (no corrections) ... 74 meV per atom
# SG ... No. 10
# Total moment ... 0.000 μB/f.u.

# 10
# Cu2SbSe, optimized geometry, DFT GGA-PBE
data_Cu2SbSe
_cell_length_a 5.813
_cell_length_b 5.813
_cell_length_c 5.813
_cell_angle_alpha 142.02
_cell_angle_beta 142.02
_cell_angle_gamma 54.80
_symmetry_space_group_name_H-M 'P 1'
_symmetry_Int_Tables_number 1
loop_
_symmetry_equiv_pos_as_xyz
'x,y,z'
loop_
_atom_site_label
_atom_site_type_symbol
_atom_site_fract_x
_atom_site_fract_y
_atom_site_fract_z
_atom_site_occupancy
Cu1 Cu 0.000 0.000 0.000 1
Cu2 Cu 0.750 0.250 0.500 1
Sb1 Sb 0.250 0.750 0.500 1
Se1 Se 0.500 0.500 0.000 1
# DOS(E_F) ... 1.43 states/eV/cell
# ρ ... 7.37 g cm⁻³
# Formation energy (no corrections) ... 255 meV per atom
# SG ... No. 119
# Total moment ... 0.000 μB/f.u.

# 11
# Cu2SbSe, optimized geometry, DFT GGA-PBE
data_Cu2SbSe
_cell_length_a 4.642
_cell_length_b 4.642
_cell_length_c 4.652
_cell_angle_alpha 111.31
_cell_angle_beta 111.31
_cell_angle_gamma 103.82
_symmetry_space_group_name_H-M 'P 1'
_symmetry_Int_Tables_number 1
loop_
_symmetry_equiv_pos_as_xyz
'x,y,z'
loop_
_atom_site_label
_atom_site_type_symbol
_atom_site_fract_x
_atom_site_fract_y
_atom_site_fract_z
_atom_site_occupancy
Cu1 Cu 0.000 0.500 0.000 1
Cu2 Cu 0.500 0.000 0.000 1
Sb1 Sb 0.000 0.000 0.500 1
Se1 Se 0.500 0.500 0.500 1
# DOS(E_F) ... 1.49 states/eV/cell
# ρ ... 6.92 g cm⁻³
# Formation energy (no corrections) ... 177 meV per atom
# SG ... No. 12
# Total moment ... 0.000 μB/f.u.

# 12
# CuSb2Se, optimized geometry, DFT GGA-PBE
data_CuSb2Se
_cell_length_a 3.463
_cell_length_b 3.463
_cell_length_c 7.143
_cell_angle_alpha 90.00
_cell_angle_beta 90.00
_cell_angle_gamma 90.00
_symmetry_space_group_name_H-M 'P 1'
_symmetry_Int_Tables_number 1
loop_
_symmetry_equiv_pos_as_xyz
'x,y,z'
loop_
_atom_site_label
_atom_site_type_symbol
_atom_site_fract_x
_atom_site_fract_y
_atom_site_fract_z
_atom_site_occupancy
Cu1 Cu 0.000 0.000 0.000 1
Sb1 Sb 0.500 0.500 0.227 1
Sb2 Sb 0.500 0.500 0.773 1
Se1 Se 0.000 0.000 0.500 1
# DOS(E_F) ... 1.98 states/eV/cell
# ρ ... 7.48 g cm⁻³
# Formation energy (no corrections) ... 252 meV per atom
# SG ... No. 123
# Total moment ... 0.000 μB/f.u.

Calculated total DFT energy (no corrections) (eV/atom), listed in the same order as above: -3.71; -3.69; -3.85; -3.62; -3.61; -3.77; -3.62; -3.72; -3.88; -3.69; -3.77; -3.70